{"formula": "Ta3ReOs", "functional": "PBE", "state": "optimized geometry", "lattice": [[4.757, 0.000, 0.000], [0.000, 4.757, 0.000], [0.000, 0.000, 4.757]], "species": ["Ta", "Ta", "Ta", "Re", "Os"], "frac_coords": [[0.000, 0.000, 0.500], [0.000, 0.500, 0.000], [0.500, 0.000, 0.000], [0.000, 0.000, 0.000], [0.500, 0.500, 0.500]], "ef_ev_per_atom": 1.727, "spacegroup": "No. 221", "magnetic_moment_mub_per_cell": 0.0, "energy_ev_per_cell": -50.60, "e_above_lowest_polymorph_mev_per_atom": 119}



{"formula": "AcRuO4F", "functional": "PBE", "state": "optimized geometry", "lattice": [[5.152, 0.000, 0.000], [0.000, 5.173, 0.000], [-2.172, 0.000, 6.873]], "species": ["Ac", "Ac", "Ru", "Ru", "O", "O", "O", "O", "O", "O", "O", "O", "F", "F"], "frac_coords": [[0.150, 0.250, 0.320], [0.850, 0.750, 0.680], [0.373, 0.250, 0.854], [0.627, 0.750, 0.146], [0.040, 0.250, 0.646], [0.255, 0.511, 0.977], [0.255, 0.989, 0.977], [0.451, 0.750, 0.328], [0.549, 0.250, 0.672], [0.745, 0.011, 0.023], [0.745, 0.489, 0.023], [0.960, 0.750, 0.354], [0.363, 0.750, 0.675], [0.637, 0.250, 0.325]], "e_form_raw_ev_per_atom": -1.954, "spacegroup": "No. 11", "magnetic_moment_mub_per_cell": 0.0, "energy_ev_per_cell": -97.54}



{"formula": "Ce6FeCoPb2", "functional": "PBE", "state": "optimized geometry", "lattice": [[-3.647, 3.647, 5.095], [3.647, -3.647, 5.095], [3.647, 3.647, -5.095]], "species": ["Ce", "Ce", "Ce", "Ce", "Ce", "Ce", "Fe", "Co", "Pb", "Pb"], "frac_coords": [[0.236, 0.236, 0.000], [0.255, 0.255, 0.509], [0.255, 0.745, 0.000], [0.745, 0.255, 0.000], [0.745, 0.745, 0.491], [0.764, 0.764, 0.000], [0.000, 0.000, 0.000], [0.500, 0.500, 0.000], [0.250, 0.750, 0.500], [0.750, 0.250, 0.500]], "ef_ev_per_atom": -0.288, "spacegroup": "No. 139", "magnetic_moment_mub_per_cell": 3.8, "energy_ev_per_cell": -61.47}



{"formula": "Tb8Pm2Ho", "functional": "PBE", "state": "optimized geometry", "lattice": [[9.105, -2.524, 0.000], [9.105, 2.524, 0.000], [-2.111, 0.000, 7.715]], "species": ["Tb", "Tb", "Tb", "Tb", "Tb", "Tb", "Tb", "Tb", "Pm", "Pm", "Ho"], "frac_coords": [[0.045, 0.045, 0.228], [0.135, 0.135, 0.679], [0.319, 0.319, 0.591], [0.410, 0.410, 0.047], [0.590, 0.590, 0.953], [0.681, 0.681, 0.409], [0.865, 0.865, 0.321], [0.955, 0.955, 0.772], [0.227, 0.227, 0.137], [0.773, 0.773, 0.863], [0.500, 0.500, 0.500]], "ef_ev_per_atom": 0.016, "spacegroup": "No. 12", "magnetic_moment_mub_per_cell": 0.0, "energy_ev_per_cell": -50.94, "e_above_lowest_polymorph_mev_per_atom": 0}



{"formula": "In3GeSe6", "functional": "PBE", "state": "optimized geometry", "lattice": [[5.548, -7.226, 0.000], [5.548, 7.226, 0.000], [0.000, 0.000, 6.699]], "species": ["In", "In", "In", "In", "In", "In", "Ge", "Ge", "Se", "Se", "Se", "Se", "Se", "Se", "Se", "Se", "Se", "Se", "Se", "Se"], "frac_coords": [[0.081, 0.919, 0.500], [0.218, 0.397, 0.655], [0.397, 0.218, 0.155], [0.603, 0.782, 0.655], [0.782, 0.603, 0.155], [0.919, 0.081, 0.000], [0.298, 0.702, 0.205], [0.702, 0.298, 0.705], [0.055, 0.617, 0.367], [0.113, 0.208, 0.329], [0.208, 0.113, 0.829], [0.302, 0.698, 0.849], [0.383, 0.945, 0.367], [0.448, 0.552, 0.368], [0.552, 0.448, 0.868], [0.617, 0.055, 0.867], [0.698, 0.302, 0.349], [0.792, 0.887, 0.329], [0.887, 0.792, 0.829], [0.945, 0.383, 0.867]], "e_form_raw_ev_per_atom": -0.300, "spacegroup": "No. 36", "magnetic_moment_mub_per_cell": 0.0, "energy_ev_per_cell": -73.48}



{"formula": "Co2HgOs", "functional": "PBE", "state": "optimized geometry", "lattice": [[2.811, -3.667, 0.000], [2.811, 3.667, 0.000], [0.000, 0.000, 2.719]], "species": ["Co", "Co", "Hg", "Os"], "frac_coords": [[0.000, 0.500, 0.000], [0.500, 0.000, 0.000], [0.000, 0.000, 0.500], [0.500, 0.500, 0.500]], "ef_ev_per_atom": 0.565, "spacegroup": "No. 65", "magnetic_moment_mub_per_cell": 3.0, "energy_ev_per_cell": -23.48}



{"formula": "CsLaMg2Rh", "functional": "PBE", "state": "optimized geometry", "lattice": [[5.481, 0.000, 0.000], [0.000, 5.481, 0.000], [0.000, 0.000, 5.310]], "species": ["Cs", "La", "Mg", "Mg", "Rh"], "frac_coords": [[0.000, 0.000, 0.000], [0.500, 0.500, 0.000], [0.000, 0.500, 0.500], [0.500, 0.000, 0.500], [0.500, 0.500, 0.500]], "ef_ev_per_atom": -0.171, "spacegroup": "No. 123", "magnetic_moment_mub_per_cell": 0.0, "energy_ev_per_cell": -17.18}



{"formula": "Pm12Cr3N5", "functional": "PBE", "state": "optimized geometry", "lattice": [[-7.977, 7.977, 7.977], [7.977, -7.977, 7.977], [7.977, 7.977, -7.977]], "species": ["Pm", "Pm", "Pm", "Pm", "Pm", "Pm", "Pm", "Pm", "Pm", "Pm", "Pm", "Pm", "Pm", "Pm", "Pm", "Pm", "Pm", "Pm", "Pm", "Pm", "Pm", "Pm", "Pm", "Pm", "Pm", "Pm", "Pm", "Pm", "Pm", "Pm", "Pm", "Pm", "Pm", "Pm", "Pm", "Pm", "Pm", "Pm", "Pm", "Pm", "Pm", "Pm", "Pm", "Pm", "Pm", "Pm", "Pm", "Pm", "Cr", "Cr", "Cr", "Cr", "Cr", "Cr", "Cr", "Cr", "Cr", "Cr", "Cr", "Cr", "N", "N", "N", "N", "N", "N", "N", "N", "N", "N", "N", "N", "N", "N", "N", "N", "N", "N", "N", "N"], "frac_coords": [[0.015, 0.200, 0.112], [0.015, 0.315, 0.903], [0.088, 0.700, 0.685], [0.088, 0.888, 0.403], [0.097, 0.612, 0.412], [0.097, 0.985, 0.685], [0.112, 0.015, 0.200], [0.112, 0.597, 0.912], [0.185, 0.200, 0.588], [0.185, 0.485, 0.597], [0.200, 0.112, 0.015], [0.200, 0.588, 0.185], [0.300, 0.315, 0.912], [0.300, 0.485, 0.388], [0.315, 0.903, 0.015], [0.315, 0.912, 0.300], [0.388, 0.300, 0.485], [0.388, 0.588, 0.903], [0.403, 0.088, 0.888], [0.403, 0.815, 0.515], [0.412, 0.097, 0.612], [0.412, 0.815, 0.800], [0.485, 0.388, 0.300], [0.485, 0.597, 0.185], [0.515, 0.403, 0.815], [0.515, 0.612, 0.700], [0.588, 0.185, 0.200], [0.588, 0.903, 0.388], [0.597, 0.185, 0.485], [0.597, 0.912, 0.112], [0.612, 0.412, 0.097], [0.612, 0.700, 0.515], [0.685, 0.088, 0.700], [0.685, 0.097, 0.985], [0.700, 0.515, 0.612], [0.700, 0.685, 0.088], [0.800, 0.412, 0.815], [0.800, 0.888, 0.985], [0.815, 0.515, 0.403], [0.815, 0.800, 0.412], [0.888, 0.403, 0.088], [0.888, 0.985, 0.800], [0.903, 0.015, 0.315], [0.903, 0.388, 0.588], [0.912, 0.112, 0.597], [0.912, 0.300, 0.315], [0.985, 0.685, 0.097], [0.985, 0.800, 0.888], [0.125, 0.250, 0.375], [0.125, 0.375, 0.750], [0.250, 0.375, 0.125], [0.250, 0.875, 0.625], [0.375, 0.125, 0.250], [0.375, 0.750, 0.125], [0.625, 0.250, 0.875], [0.625, 0.875, 0.750], [0.750, 0.125, 0.375], [0.750, 0.625, 0.875], [0.875, 0.625, 0.250], [0.875, 0.750, 0.625], [0.000, 0.000, 0.000], [0.000, 0.000, 0.500], [0.000, 0.500, 0.000], [0.000, 0.500, 0.500], [0.125, 0.750, 0.875], [0.125, 0.875, 0.250], [0.250, 0.125, 0.875], [0.250, 0.625, 0.375], [0.375, 0.250, 0.625], [0.375, 0.625, 0.750], [0.500, 0.000, 0.000], [0.500, 0.000, 0.500], [0.500, 0.500, 0.000], [0.500, 0.500, 0.500], [0.625, 0.375, 0.250], [0.625, 0.750, 0.375], [0.750, 0.375, 0.625], [0.750, 0.875, 0.125], [0.875, 0.125, 0.750], [0.875, 0.250, 0.125]], "e_form_raw_ev_per_atom": -0.403, "spacegroup": "No. 230", "magnetic_moment_mub_per_cell": 45.5, "energy_ev_per_cell": -542.23}



{"formula": "LiBi2S3", "functional": "PBE", "state": "optimized geometry", "lattice": [[-2.216, 8.346, 1.915], [2.216, -8.346, 1.915], [2.216, 8.346, -1.915]], "species": ["Li", "Bi", "Bi", "S", "S", "S"], "frac_coords": [[0.000, 0.000, 0.000], [0.299, 0.956, 0.343], [0.614, 0.956, 0.657], [0.090, 0.927, 0.162], [0.341, 0.841, 0.500], [0.765, 0.927, 0.838]], "e_form_raw_ev_per_atom": -0.494, "spacegroup": "No. 44", "magnetic_moment_mub_per_cell": 0.0, "energy_ev_per_cell": -25.02}



{"formula": "Ac4Ni2Sn", "functional": "PBE", "state": "optimized geometry", "lattice": [[0.000, 7.259, 4.780], [7.019, 0.000, 4.780], [7.019, 7.259, 0.000]], "species": ["Ac", "Ac", "Ac", "Ac", "Ac", "Ac", "Ac", "Ac", "Ni", "Ni", "Ni", "Ni", "Sn", "Sn"], "frac_coords": [[0.011, 0.989, 0.818], [0.068, 0.432, 0.261], [0.146, 0.510, 0.682], [0.432, 0.068, 0.239], [0.510, 0.146, 0.662], [0.568, 0.588, 0.104], [0.588, 0.568, 0.740], [0.989, 0.011, 0.182], [0.289, 0.290, 0.961], [0.289, 0.789, 0.961], [0.290, 0.289, 0.461], [0.789, 0.289, 0.960], [0.664, 0.664, 0.336], [0.914, 0.914, 0.586]], "ef_ev_per_atom": -0.236, "spacegroup": "No. 43", "magnetic_moment_mub_per_cell": 0.0, "energy_ev_per_cell": -67.30}



{"formula": "KTl6Hg2", "functional": "PBE", "state": "optimized geometry", "lattice": [[5.065, 0.000, 0.000], [0.000, 5.065, 0.000], [0.000, 0.000, 11.446]], "species": ["K", "Tl", "Tl", "Tl", "Tl", "Tl", "Tl", "Hg", "Hg"], "frac_coords": [[0.000, 0.000, 0.000], [0.000, 0.000, 0.500], [0.000, 0.500, 0.295], [0.000, 0.500, 0.705], [0.500, 0.000, 0.295], [0.500, 0.000, 0.705], [0.500, 0.500, 0.500], [0.500, 0.500, 0.127], [0.500, 0.500, 0.873]], "ef_ev_per_atom": -0.064, "spacegroup": "No. 123", "magnetic_moment_mub_per_cell": 0.0, "energy_ev_per_cell": -16.48}



{"formula": "Li2DyCd", "functional": "PBE", "state": "optimized geometry", "lattice": [[0.000, 3.452, 3.452], [3.452, 0.000, 3.452], [3.452, 3.452, 0.000]], "species": ["Li", "Li", "Dy", "Cd"], "frac_coords": [[0.250, 0.250, 0.250], [0.750, 0.750, 0.750], [0.000, 0.000, 0.000], [0.500, 0.500, 0.500]], "ef_ev_per_atom": -0.072, "spacegroup": "No. 225", "magnetic_moment_mub_per_cell": 0.0, "energy_ev_per_cell": -9.63, "e_above_lowest_polymorph_mev_per_atom": 0}



{"formula": "CrInNiPt", "functional": "PBE", "state": "optimized geometry", "lattice": [[0.000, 3.144, 3.144], [3.144, 0.000, 3.144], [3.144, 3.144, 0.000]], "species": ["Cr", "In", "Ni", "Pt"], "frac_coords": [[0.000, 0.000, 0.000], [0.500, 0.500, 0.500], [0.250, 0.250, 0.250], [0.750, 0.750, 0.750]], "ef_ev_per_atom": -0.106, "spacegroup": "No. 216", "magnetic_moment_mub_per_cell": 3.8, "energy_ev_per_cell": -24.61}



{"formula": "Al2Pt3", "functional": "PBE", "state": "optimized geometry", "lattice": [[0.000, 6.410, 2.453], [4.807, 0.000, 2.453], [4.807, 6.410, 0.000]], "species": ["Al", "Al", "Al", "Al", "Pt", "Pt", "Pt", "Pt", "Pt", "Pt"], "frac_coords": [[0.012, 0.488, 0.092], [0.158, 0.842, 0.238], [0.488, 0.012, 0.408], [0.842, 0.158, 0.762], [0.036, 0.036, 0.964], [0.286, 0.286, 0.214], [0.454, 0.591, 0.323], [0.591, 0.454, 0.632], [0.618, 0.927, 0.659], [0.927, 0.618, 0.796]], "ef_ev_per_atom": -0.860, "spacegroup": "No. 43", "magnetic_moment_mub_per_cell": 0.0, "energy_ev_per_cell": -59.81, "e_above_lowest_polymorph_mev_per_atom": 22}



{"formula": "ScTl", "functional": "PBE", "state": "optimized geometry", "lattice": [[0.000, 3.324, 3.324], [3.324, 0.000, 3.324], [3.324, 3.324, 0.000]], "species": ["Sc", "Tl"], "frac_coords": [[0.000, 0.000, 0.000], [0.750, 0.750, 0.750]], "ef_ev_per_atom": 0.739, "spacegroup": "No. 216", "magnetic_moment_mub_per_cell": 1.1, "energy_ev_per_cell": -7.22}



{"formula": "PmNpSe2S", "functional": "PBE", "state": "optimized geometry", "lattice": [[4.203, 0.000, 0.000], [0.000, 4.203, 0.000], [0.000, 0.000, 14.690]], "species": ["Pm", "Pm", "Np", "Np", "Se", "Se", "Se", "Se", "S", "S"], "frac_coords": [[0.250, 0.250, 0.111], [0.750, 0.750, 0.889], [0.250, 0.250, 0.615], [0.750, 0.750, 0.385], [0.250, 0.250, 0.303], [0.250, 0.250, 0.901], [0.750, 0.750, 0.099], [0.750, 0.750, 0.697], [0.250, 0.750, 0.500], [0.750, 0.250, 0.500]], "e_form_raw_ev_per_atom": -1.455, "spacegroup": "No. 129", "magnetic_moment_mub_per_cell": 7.3, "energy_ev_per_cell": -72.13}



{"formula": "PuNb2V", "functional": "PBE", "state": "optimized geometry", "lattice": [[1.504, 0.868, 9.733], [-1.504, 0.868, 9.733], [0.000, -1.736, 9.733]], "species": ["Pu", "Nb", "Nb", "V"], "frac_coords": [[0.000, 0.000, 0.000], [0.097, 0.097, 0.097], [0.903, 0.903, 0.903], [0.500, 0.500, 0.500]], "ef_ev_per_atom": 0.497, "spacegroup": "No. 166", "magnetic_moment_mub_per_cell": 4.2, "energy_ev_per_cell": -41.60, "e_above_lowest_polymorph_mev_per_atom": 308}



{"formula": "TmPd6Au3", "functional": "PBE", "state": "optimized geometry", "lattice": [[5.198, 3.001, 2.153], [-5.198, 3.001, 2.153], [0.000, -6.002, 2.153]], "species": ["Tm", "Pd", "Pd", "Pd", "Pd", "Pd", "Pd", "Au", "Au", "Au"], "frac_coords": [[0.000, 0.000, 0.000], [0.305, 0.305, 0.560], [0.305, 0.560, 0.305], [0.536, 0.939, 0.939], [0.560, 0.305, 0.305], [0.939, 0.536, 0.939], [0.939, 0.939, 0.536], [0.059, 0.577, 0.577], [0.577, 0.059, 0.577], [0.577, 0.577, 0.059]], "ef_ev_per_atom": 0.054, "spacegroup": "No. 160", "magnetic_moment_mub_per_cell": 0.0, "energy_ev_per_cell": -44.92, "e_above_lowest_polymorph_mev_per_atom": 411}



{"formula": "Cd3GeH", "functional": "PBE", "state": "optimized geometry", "lattice": [[4.536, 0.000, 0.000], [0.000, 4.536, 0.000], [0.000, 0.000, 4.536]], "species": ["Cd", "Cd", "Cd", "Ge", "H"], "frac_coords": [[0.000, 0.000, 0.500], [0.000, 0.500, 0.000], [0.500, 0.000, 0.000], [0.500, 0.500, 0.500], [0.000, 0.000, 0.000]], "spacegroup": "No. 221", "magnetic_moment_mub_per_cell": 0.0, "energy_ev_per_cell": -8.99, "e_above_lowest_polymorph_mev_per_atom": 0}



{"formula": "TmZrFeCu", "functional": "PBE", "state": "optimized geometry", "lattice": [[0.000, 3.287, 3.287], [3.287, 0.000, 3.287], [3.287, 3.287, 0.000]], "species": ["Tm", "Zr", "Fe", "Cu"], "frac_coords": [[0.000, 0.000, 0.000], [0.500, 0.500, 0.500], [0.250, 0.250, 0.250], [0.750, 0.750, 0.750]], "ef_ev_per_atom": -0.093, "spacegroup": "No. 216", "magnetic_moment_mub_per_cell": 0.6, "energy_ev_per_cell": -25.95}